DFT (PBE) results for a geometry-optimized Sm3Tm5Th2 structure.

a b c (Å): 10.667 16.745 9.016
angles (deg): 90.00 126.19 90.00
Space group C2/c (No. 15)
Symmetry-distinct sites (fractional):
Sm1 0.000 0.224 0.250 [4 per cell]
Sm2 0.147 0.122 0.042 [8 per cell]
Tm1 0.000 0.030 0.250 [4 per cell]
Tm2 0.000 0.277 0.750 [4 per cell]
Tm3 0.000 0.468 0.750 [4 per cell]
Tm4 0.248 0.113 0.750 [8 per cell]
Th1 0.139 0.379 0.530 [8 per cell]

* DFT formation energy: 0.22 eV/atom
* energy: -4.92 eV per atom


DFT (PBE) results for a geometry-optimized Sm6TmTh structure.

a b c (Å): 7.202 7.202 5.120
angles (deg): 90.00 90.00 90.00
Space group P4/mmm (No. 123)
Symmetry-distinct sites (fractional):
Sm1 0.000 0.500 0.000 [2 per cell]
Sm2 0.246 0.246 0.500 [4 per cell]
Tm1 0.500 0.500 0.000 [1 per cell]
Th1 0.000 0.000 0.000 [1 per cell]

* DFT formation energy: 0.03 eV/atom
* offset from the most stable computed form: 0.000 eV per atom
* energy: -4.99 eV per atom